Record 1
ReHIr2: relaxed, PBE.

Output
Total DFT energy (no corrections) in eV per cell: -122.33
Magnetization in μB per formula unit: 0.0
DOS at the Fermi energy in states/eV/atom: 1.578
Energy above the lowest structure with this stoichiometry in meV/atom: 400

Cell and atoms, written as CIF:
```
data_ReHIr2
_chemical_formula_sum 'Re4 H4 Ir8'
_cell_length_a 5.9481
_cell_length_b 5.9481
_cell_length_c 5.9481
_cell_angle_alpha 90.00
_cell_angle_beta 90.00
_cell_angle_gamma 90.00
_space_group_name_H-M_alt 'F m -3 m'
_space_group_IT_number 225
_space_group_name_Hall '-F 4 2 3'
loop_
_atom_site_label
_atom_site_fract_x
_atom_site_fract_y
_atom_site_fract_z
Re1 0.0000 0.0000 0.0000
H1 0.0000 0.0000 0.5000
Ir1 0.2500 0.2500 0.2500
```


Record 2
ReHIr2Rh: relaxed, PBE.

Output
Total DFT energy (no corrections) in eV per cell: -40.18
Magnetization in μB per formula unit: 0.0
DOS at the Fermi energy in states/eV/atom: 1.183

Cell and atoms, written as CIF:
```
data_ReHIr2Rh
_chemical_formula_sum 'Re1 H1 Ir2 Rh1'
_cell_length_a 3.9385
_cell_length_b 3.9385
_cell_length_c 3.9038
_cell_angle_alpha 90.00
_cell_angle_beta 90.00
_cell_angle_gamma 90.00
_space_group_name_H-M_alt 'P 4/m m m'
_space_group_IT_number 123
_space_group_name_Hall '-P 4 2'
loop_
_atom_site_label
_atom_site_fract_x
_atom_site_fract_y
_atom_site_fract_z
Re1 0.0000 0.0000 0.0000
H1 0.5000 0.5000 0.5000
Ir1 0.0000 0.5000 0.5000
Rh1 0.5000 0.5000 0.0000
```


Record 3
ReHIr2Ru: relaxed, PBE.

Output
Total DFT energy (no corrections) in eV per cell: -42.32
Magnetization in μB per formula unit: 0.0
DOS at the Fermi energy in states/eV/atom: 0.988

Cell and atoms, written as CIF:
```
data_ReHIr2Ru
_chemical_formula_sum 'Re1 H1 Ir2 Ru1'
_cell_length_a 3.9013
_cell_length_b 3.9013
_cell_length_c 3.9479
_cell_angle_alpha 90.00
_cell_angle_beta 90.00
_cell_angle_gamma 90.00
_space_group_name_H-M_alt 'P 4/m m m'
_space_group_IT_number 123
_space_group_name_Hall '-P 4 2'
loop_
_atom_site_label
_atom_site_fract_x
_atom_site_fract_y
_atom_site_fract_z
Re1 0.0000 0.0000 0.0000
H1 0.5000 0.5000 0.5000
Ir1 0.0000 0.5000 0.5000
Ru1 0.5000 0.5000 0.0000
```


Record 4
ReHIrSe2: relaxed, PBE.

Output
Total DFT energy (no corrections) in eV per cell: -27.85
Magnetization in μB per formula unit: 0.0
DOS at the Fermi energy in states/eV/atom: 0.761

Cell and atoms, written as CIF:
```
data_ReHIrSe2
_chemical_formula_sum 'Re1 H1 Ir1 Se2'
_cell_length_a 4.4656
_cell_length_b 4.4656
_cell_length_c 3.4109
_cell_angle_alpha 90.00
_cell_angle_beta 90.00
_cell_angle_gamma 90.00
_space_group_name_H-M_alt 'P 4/m m m'
_space_group_IT_number 123
_space_group_name_Hall '-P 4 2'
loop_
_atom_site_label
_atom_site_fract_x
_atom_site_fract_y
_atom_site_fract_z
Re1 0.0000 0.0000 0.0000
H1 0.5000 0.5000 0.5000
Ir1 0.5000 0.5000 0.0000
Se1 0.0000 0.5000 0.5000
```